1.
# PBE-GGA ErTmBr, relaxed
data_ErTmBr
_chemical_formula_sum 'Er2 Tm2 Br2'
_cell_length_a 3.6060
_cell_length_b 6.2473
_cell_length_c 7.6655
_cell_angle_alpha 105.69
_cell_angle_beta 90.08
_cell_angle_gamma 90.03
_symmetry_space_group_name_H-M 'P -1'
_symmetry_Int_Tables_number 2
loop_
_symmetry_equiv_pos_as_xyz
'x,y,z'
'-x,-y,-z'
loop_
_atom_site_label
_atom_site_fract_x
_atom_site_fract_y
_atom_site_fract_z
Er1 0.2495 0.0232 0.3188
Tm1 0.2505 0.4766 0.6795
Br1 0.2502 0.2507 0.0002
# - energy relative to the lowest polymorph listed for this composition (eV/atom) = 0.0309
# - ΔE_f (raw) (meV per atom) = -683
# - energy (eV/cell) = -25.51
# - N(E_F) (states/eV/atom) = 0.96



2.
# PBE-GGA Er2TmBr, relaxed
data_Er2TmBr
_chemical_formula_sum 'Er6 Tm3 Br3'
_cell_length_a 3.6082
_cell_length_b 3.6082
_cell_length_c 30.3203
_cell_angle_alpha 90.00
_cell_angle_beta 90.00
_cell_angle_gamma 120.00
_symmetry_space_group_name_H-M 'R -3 m'
_symmetry_Int_Tables_number 166
_symmetry_space_group_name_Hall '-R 3 2"'
loop_
_atom_site_label
_atom_site_fract_x
_atom_site_fract_y
_atom_site_fract_z
Er1 0.0000 0.0000 0.2434
Tm1 0.0000 0.0000 0.0000
Br1 0.0000 0.0000 0.5000
# - ΔE_f (raw) (meV per atom) = -497
# - energy (eV/cell) = -51.78
# - N(E_F) (states/eV/atom) = 1.14



3.
# PBE-GGA ErUBr6, relaxed
data_ErUBr6
_chemical_formula_sum 'Er3 U3 Br18'
_cell_length_a 7.1609
_cell_length_b 7.1609
_cell_length_c 19.6032
_cell_angle_alpha 90.00
_cell_angle_beta 90.00
_cell_angle_gamma 120.00
_symmetry_space_group_name_H-M 'R -3'
_symmetry_Int_Tables_number 148
_symmetry_space_group_name_Hall '-R 3'
loop_
_atom_site_label
_atom_site_fract_x
_atom_site_fract_y
_atom_site_fract_z
Er1 0.0000 0.0000 0.0000
U1 0.0000 0.0000 0.5000
Br1 0.0077 0.6837 0.0814
# - ΔE_f (raw) (meV per atom) = -1519
# - energy (eV/cell) = -114.12
# - N(E_F) (states/eV/atom) = 0.20



4.
# PBE-GGA ErVBr, relaxed
data_ErVBr
_chemical_formula_sum 'Er4 V4 Br4'
_cell_length_a 6.9610
_cell_length_b 3.8184
_cell_length_c 12.2936
_cell_angle_alpha 90.00
_cell_angle_beta 100.40
_cell_angle_gamma 90.00
_symmetry_space_group_name_H-M 'C 1 2/m 1'
_symmetry_Int_Tables_number 12
loop_
_symmetry_equiv_pos_as_xyz
'x,y,z'
'-x,-y,-z'
'-x,y,-z'
'x,-y,z'
'x+1/2,y+1/2,z'
'-x+1/2,-y+1/2,-z'
'-x+1/2,y+1/2,-z'
'x+1/2,-y+1/2,z'
loop_
_atom_site_label
_atom_site_fract_x
_atom_site_fract_y
_atom_site_fract_z
Er1 0.0632 0.0000 0.1864
V1 0.1417 0.5000 0.9994
Br1 0.2109 0.0000 0.6583
# - ΔE_f (raw) (meV per atom) = -634
# - energy (eV/cell) = -69.03
# - N(E_F) (states/eV/atom) = 0.37



5.
# PBE-GGA Y2ErBr, relaxed
data_Y2ErBr
_chemical_formula_sum 'Y6 Er3 Br3'
_cell_length_a 3.6498
_cell_length_b 3.6498
_cell_length_c 30.5293
_cell_angle_alpha 90.00
_cell_angle_beta 90.00
_cell_angle_gamma 120.00
_symmetry_space_group_name_H-M 'R -3 m'
_symmetry_Int_Tables_number 166
_symmetry_space_group_name_Hall '-R 3 2"'
loop_
_atom_site_label
_atom_site_fract_x
_atom_site_fract_y
_atom_site_fract_z
Y1 0.0000 0.0000 0.2427
Er1 0.0000 0.0000 0.0000
Br1 0.0000 0.0000 0.5000
# - ΔE_f (raw) (meV per atom) = -524
# - energy (eV/cell) = -63.78
# - N(E_F) (states/eV/atom) = 1.22



6.
# PBE-GGA YErBr3, relaxed
data_YErBr3
_chemical_formula_sum 'Y4 Er4 Br12'
_cell_length_a 18.3974
_cell_length_b 3.8819
_cell_length_c 11.3769
_cell_angle_alpha 90.00
_cell_angle_beta 124.63
_cell_angle_gamma 90.00
_symmetry_space_group_name_H-M 'C 1 2/m 1'
_symmetry_Int_Tables_number 12
loop_
_symmetry_equiv_pos_as_xyz
'x,y,z'
'-x,-y,-z'
'-x,y,-z'
'x,-y,z'
'x+1/2,y+1/2,z'
'-x+1/2,-y+1/2,-z'
'-x+1/2,y+1/2,-z'
'x+1/2,-y+1/2,z'
loop_
_atom_site_label
_atom_site_fract_x
_atom_site_fract_y
_atom_site_fract_z
Y1 0.1350 0.0000 0.2833
Er1 0.0703 0.5000 0.9586
Br1 0.0322 0.0000 0.7434
Br2 0.1679 0.5000 0.5066
Br3 0.2104 0.0000 0.1186
# - ΔE_f (raw) (meV per atom) = -1497
# - energy (eV/cell) = -94.12



7.
# PBE-GGA YErBr6, relaxed
data_YErBr6
_chemical_formula_sum 'Y2 Er2 Br12'
_cell_length_a 6.9259
_cell_length_b 13.3317
_cell_length_c 6.9263
_cell_angle_alpha 90.00
_cell_angle_beta 107.31
_cell_angle_gamma 90.00
_symmetry_space_group_name_H-M 'C 1 2/m 1'
_symmetry_Int_Tables_number 12
loop_
_symmetry_equiv_pos_as_xyz
'x,y,z'
'-x,-y,-z'
'-x,y,-z'
'x,-y,z'
'x+1/2,y+1/2,z'
'-x+1/2,-y+1/2,-z'
'-x+1/2,y+1/2,-z'
'x+1/2,-y+1/2,z'
loop_
_atom_site_label
_atom_site_fract_x
_atom_site_fract_y
_atom_site_fract_z
Y1 0.0000 0.0000 0.0000
Er1 0.0000 0.5000 0.5000
Br1 0.2477 0.3561 0.7477
Br2 0.2488 0.5000 0.2514
# - energy relative to the lowest polymorph listed for this composition (eV/atom) = 0.0000
# - ΔE_f (raw) (meV per atom) = -1837
# - energy (eV/cell) = -71.51
# - N(E_F) (states/eV/atom) = 0.00



8.
# PBE-GGA YErBr6, relaxed
data_YErBr6
_chemical_formula_sum 'Y3 Er3 Br18'
_cell_length_a 7.0328
_cell_length_b 7.0328
_cell_length_c 19.1336
_cell_angle_alpha 90.00
_cell_angle_beta 90.00
_cell_angle_gamma 120.00
_symmetry_space_group_name_H-M 'R -3'
_symmetry_Int_Tables_number 148
_symmetry_space_group_name_Hall '-R 3'
loop_
_atom_site_label
_atom_site_fract_x
_atom_site_fract_y
_atom_site_fract_z
Y1 0.0000 0.0000 0.0000
Er1 0.0000 0.0000 0.5000
Br1 0.0022 0.3443 0.2496
# - energy relative to the lowest polymorph listed for this composition (eV/atom) = 0.0200
# - ΔE_f (raw) (meV per atom) = -1817
# - energy (eV/cell) = -106.79
# - N(E_F) (states/eV/atom) = 0.00



Number 1: magnetic moment 0.000 μB/f.u.. Number 2: magnetic moment 0.000 μB/f.u.. Number 3: magnetic moment 3.000 μB/f.u.. Number 4: magnetic moment 0.000 μB/f.u.. Number 5: magnetic moment 0.068 μB/f.u.. Number 6: magnetic moment 0.000 μB/f.u.. Number 7: magnetic moment 0.000 μB/f.u.. Number 8: magnetic moment 0.000 μB/f.u..